# Pr2NdH6 (PBE, relaxed)
data_Pr2NdH6
_symmetry_space_group_name_H-M 'I 4/m m m'
_symmetry_Int_Tables_number 139
_symmetry_space_group_name_Hall '-I 4 2'
_cell_length_a 3.900
_cell_length_b 3.900
_cell_length_c 16.537
_cell_angle_alpha 90.00
_cell_angle_beta 90.00
_cell_angle_gamma 90.00
loop_
_atom_site_label
_atom_site_type_symbol
_atom_site_fract_x
_atom_site_fract_y
_atom_site_fract_z
_atom_site_occupancy
Pr1 Pr 0.000 0.000 0.166 1
Nd1 Nd 0.000 0.000 0.500 1
H1 H 0.000 0.500 0.082 1
H2 H 0.000 0.500 0.250 1
# calculated volume	14.0	A^3/atom
# final energy	-4.4646	eV/atom
# crystal system	tetragonal